# 1
DFT (PBE) results for a relaxed structure of Sr2Cd4HgAu3.

Calculated values
Energy relative to the elements ... -9.51 kcal/mol of atoms
Density ... 9133 kg/m3

abc: 4.467 4.467 12.907
angles: 90.00 90.00 90.00
Space group P-4m2 (No. 115)
Unique sites:
Sr  0.000  0.500  0.236 [2 per cell]
Cd  0.000  0.000  0.000 [1 per cell]
Cd  0.000  0.500  0.642 [2 per cell]
Cd  0.500  0.500  0.000 [1 per cell]
Hg  0.000  0.000  0.500 [1 per cell]
Au  0.000  0.500  0.855 [2 per cell]
Au  0.500  0.500  0.500 [1 per cell]


# 2
DFT (PBE) results for a relaxed structure of Tb4CdHgAu2.

Calculated values
Energy relative to the elements ... -14.02 kcal/mol of atoms
Density ... 11198 kg/m3

abc: 5.1964 5.1964 25.5404
angles: 90.00 90.00 120.00
Space group R-3m (No. 166, hexagonal axes)
Unique sites:
Tb  0.0000  0.0000  0.1234 [6 per cell]
Tb  0.0000  0.0000  0.3738 [6 per cell]
Cd  0.0000  0.0000  0.5000 [3 per cell]
Hg  0.0000  0.0000  0.0000 [3 per cell]
Au  0.0000  0.0000  0.2446 [6 per cell]


# 3
DFT (PBE) results for a relaxed structure of TbCdHgAu.

Calculated values
Energy relative to the elements ... -12.23 kcal/mol of atoms
Density ... 12491 kg/m3

abc: 7.085 7.085 7.085
angles: 90.00 90.00 90.00
Space group F-43m (No. 216)
Unique sites:
Tb  0.000  0.000  0.000 [4 per cell]
Cd  0.000  0.000  0.500 [4 per cell]
Hg  0.250  0.250  0.250 [4 per cell]
Au  0.250  0.250  0.750 [4 per cell]


# 4
DFT (PBE) results for a relaxed structure of CdTcHg2Au.

Calculated values
Energy relative to the elements ... 18.30 kcal/mol of atoms
Density ... 8965 kg/m3

abc: 5.368 5.368 5.197
angles: 90.00 90.00 90.00
Space group P4/mmm (No. 123)
Unique sites:
Cd  0.000  0.000  0.000 [1 per cell]
Tc  0.500  0.500  0.500 [1 per cell]
Hg  0.000  0.500  0.500 [2 per cell]
Au  0.500  0.500  0.000 [1 per cell]